Material: Ho5Zn2Pt
Method: DFT, GGA-PBE
State: optimized geometry

Properties
* crystal system: tetragonal
* density of states at the Fermi level: 18.60 states/eV per cell
* magnetic moment: 0.0 μB/f.u.
* ΔH_f (0 K): -494 meV/atom

Unit cell a=9.1917 b=9.1917 c=9.1917 alpha=134.22 beta=134.22 gamma=66.75
Fractional positions:
Ho  0.0000  0.0000  0.0000
Ho  0.0196  0.5196  0.8454
Ho  0.1742  0.0196  0.5000
Ho  0.3258  0.8258  0.8454
Ho  0.4804  0.3258  0.5000
Ho  0.5000  0.5000  0.0000
Ho  0.5196  0.6742  0.5000
Ho  0.6742  0.1742  0.1546
Ho  0.8258  0.9804  0.5000
Ho  0.9804  0.4804  0.1546
Zn  0.1219  0.3781  0.5000
Zn  0.3781  0.8781  0.2561
Zn  0.6219  0.1219  0.7439
Zn  0.8781  0.6219  0.5000
Pt  0.2500  0.2500  0.0000
Pt  0.7500  0.7500  0.0000